(1)
VASP calculation (PBE+U) on K2FeSeO4 after structural relaxation.

calculated density = 2.5 g/cm³
V = 22.87 Å³/atom
total magnetic moment = 0.50 μB/atom
crystal system = orthorhombic
calculated total energy = -4.900 eV/atom

a b c (Å): 5.771 13.594 18.654
angles (deg): 90.00 90.00 90.00
Space group Fddd (No. 70, origin choice 2)
Symmetry-distinct sites (fractional):
1 K 0.125 0.125 0.300 [16 per cell]
2 Fe 0.125 0.125 0.125 [8 per cell]
3 Se 0.125 0.125 0.625 [8 per cell]
4 O 0.109 0.279 0.379 [32 per cell]

***

(2)
VASP calculation (PBE+U) on KFeSiO4 after structural relaxation.

calculated density = 3.2 g/cm³
V = 13.86 Å³/atom
total magnetic moment = 0.71 μB/atom
crystal system = monoclinic
calculated total energy = -6.615 eV/atom

a b c (Å): 5.118 5.536 7.043
angles (deg): 90.00 103.48 90.00
Space group P2_1/m (No. 11)
Symmetry-distinct sites (fractional):
1 K 0.165 0.250 0.086 [2 per cell]
2 Fe 0.174 0.750 0.473 [2 per cell]
3 Si 0.375 0.250 0.656 [2 per cell]
4 O 0.164 0.024 0.672 [4 per cell]
5 O 0.320 0.750 0.207 [2 per cell]
6 O 0.433 0.250 0.436 [2 per cell]

***

(3)
VASP calculation (PBE+U) on K2FeSiO4 after structural relaxation.

calculated density = 2.5 g/cm³
V = 18.58 Å³/atom
total magnetic moment = 0.50 μB/atom
crystal system = orthorhombic
calculated total energy = -6.057 eV/atom

a b c (Å): 5.125 11.694 19.836
angles (deg): 90.00 90.00 90.00
Space group Fddd (No. 70, origin choice 2)
Symmetry-distinct sites (fractional):
1 K 0.125 0.125 0.301 [16 per cell]
2 Fe 0.125 0.125 0.125 [8 per cell]
3 Si 0.125 0.125 0.625 [8 per cell]
4 O 0.077 0.290 0.832 [32 per cell]